#A
Below is a PBEsol-optimized structure of Zr2TcCl, with properties calculated at the SCAN level.

```
Zr2TcCl
1.0
2.404 -2.125 0.000
2.404 2.125 0.000
-2.387 0.000 7.794
Zr Tc Cl
2 1 1
direct
0.093 0.093 0.206 Zr
0.907 0.907 0.794 Zr
0.500 0.500 0.000 Tc
0.500 0.500 0.500 Cl
```

Summary:
**Total magnetization**: 0.00 μB per cell
**D(E_F)**: 1.9 states/eV per cell
**SG**: C2/m
**Crystal system**: monoclinic

---

#B
Below is a PBEsol-optimized structure of Zr2TcCl, with properties calculated at the SCAN level.

```
Zr2TcCl
1.0
-1.853 1.853 5.088
1.853 -1.853 5.088
1.853 1.853 -5.088
Zr Tc Cl
2 1 1
direct
0.000 0.000 0.000 Zr
0.750 0.250 0.500 Zr
0.250 0.750 0.500 Tc
0.500 0.500 0.000 Cl
```

Summary:
**Total magnetization**: 0.00 μB per cell
**D(E_F)**: 2.1 states/eV per cell
**SG**: I-4m2
**Crystal system**: tetragonal

---

Most stable pick: #A. Distance to second place: 0.732 eV/atom.

---

#A
Below is a PBEsol-optimized structure of TeCl4, with properties calculated at the SCAN level.

```
TeCl4
1.0
8.687 -5.311 0.000
8.687 5.311 0.000
-6.930 0.000 13.920
Te Cl
8 32
direct
0.234 0.764 0.612 Te
0.236 0.766 0.888 Te
0.343 0.383 0.183 Te
0.383 0.343 0.683 Te
0.617 0.657 0.317 Te
0.657 0.617 0.817 Te
0.764 0.234 0.112 Te
0.766 0.236 0.388 Te
0.013 0.985 0.624 Cl
0.015 0.987 0.876 Cl
0.124 0.625 0.688 Cl
0.131 0.642 0.456 Cl
0.132 0.614 0.191 Cl
0.134 0.647 0.936 Cl
0.246 0.275 0.021 Cl
0.255 0.270 0.246 Cl
0.270 0.255 0.746 Cl
0.275 0.246 0.521 Cl
0.353 0.866 0.564 Cl
0.358 0.869 0.044 Cl
0.375 0.876 0.812 Cl
0.386 0.868 0.309 Cl
0.493 0.505 0.125 Cl
0.495 0.507 0.375 Cl
0.505 0.493 0.625 Cl
0.507 0.495 0.875 Cl
0.614 0.132 0.691 Cl
0.625 0.124 0.188 Cl
0.642 0.131 0.956 Cl
0.647 0.134 0.436 Cl
0.725 0.754 0.479 Cl
0.730 0.745 0.254 Cl
0.745 0.730 0.754 Cl
0.754 0.725 0.979 Cl
0.866 0.353 0.064 Cl
0.868 0.386 0.809 Cl
0.869 0.358 0.544 Cl
0.876 0.375 0.312 Cl
0.985 0.013 0.124 Cl
0.987 0.015 0.376 Cl
```

Summary:
**Total magnetization**: 0.00 μB per cell
**D(E_F)**: 0.0 states/eV per cell
**SG**: C2/c
**Crystal system**: monoclinic

---

#B
Below is a PBEsol-optimized structure of TeCl4, with properties calculated at the SCAN level.

```
TeCl4
1.0
-4.463 4.463 1.665
4.463 -4.463 1.665
4.463 4.463 -1.665
Te Cl
1 4
direct
0.000 0.000 0.000 Te
0.265 0.449 0.713 Cl
0.449 0.735 0.184 Cl
0.551 0.265 0.816 Cl
0.735 0.551 0.287 Cl
```

Summary:
**Total magnetization**: 0.00 μB per cell
**D(E_F)**: 0.0 states/eV per cell
**SG**: I4/m
**Crystal system**: tetragonal

---

Most stable pick: #A. Distance to second place: 0.354 eV/atom.